Material: Zr2IrRh3
Method: DFT, PBE
State: optimized geometry

The value obtained for the total energy is -8.3344 eV per atom. As for the magnetic moment: 0.0 Bohr magnetons per cell. For the volume, the calculation gives 109.43 Å³/f.u.

a b c (Å): 8.544 8.544 8.544
angles (deg): 120.49 120.49 89.15
Fractional coordinates of all 24 atoms:
Zr1 0.273 0.725 0.547
Zr2 0.275 0.322 0.547
Zr3 0.275 0.727 0.953
Zr4 0.322 0.275 0.047
Zr5 0.678 0.725 0.953
Zr6 0.725 0.273 0.047
Zr7 0.725 0.678 0.453
Zr8 0.727 0.275 0.453
Ir1 0.094 0.344 0.750
Ir2 0.344 0.094 0.250
Ir3 0.656 0.906 0.750
Ir4 0.906 0.656 0.250
Rh1 0.000 0.500 0.500
Rh2 0.088 0.338 0.176
Rh3 0.088 0.912 0.750
Rh4 0.338 0.088 0.676
Rh5 0.338 0.662 0.250
Rh6 0.500 0.000 0.000
Rh7 0.500 0.500 0.000
Rh8 0.500 0.500 0.500
Rh9 0.662 0.338 0.750
Rh10 0.662 0.912 0.324
Rh11 0.912 0.088 0.250
Rh12 0.912 0.662 0.824

Material: ZrIrRh
Method: DFT, PBE
State: optimized geometry

The value obtained for the total energy is -8.9612 eV per atom. As for the magnetic moment: 0.0 Bohr magnetons per cell. For the volume, the calculation gives 49.54 Å³/f.u. The calculation puts the polymorph energy (0 for the lowest one) at 0.0 kJ/mol of atoms.

a b c (Å): 4.527 4.527 5.583
angles (deg): 90.00 90.00 120.00
Fractional coordinates of all 6 atoms:
Zr1 0.333 0.667 0.250
Zr2 0.667 0.333 0.750
Ir1 0.000 0.000 0.000
Ir2 0.000 0.000 0.500
Rh1 0.333 0.667 0.750
Rh2 0.667 0.333 0.250

ΔE_f values (in eV per formula unit) by entry order: -1.995, -2.123.